This record from Alexandria describes a relaxed ZnCoO3 crystal. The functional is PBE with a Hubbard U.

Properties
* E: -24.6 eV per cell
* symmetry: P-6m2

abc: 5.361 5.361 2.622
angles: 90.00 90.00 120.00
Atoms (fractional coordinates):
1 Zn 0.000 0.000 0.000
2 Co 0.667 0.333 0.000
3 O 0.350 0.175 0.500
4 O 0.825 0.175 0.500
5 O 0.825 0.650 0.500